Record 1
The following is a PBE calculation of a relaxed ZnSn2Bi crystal, from Alexandria.

Lattice parameters (Å, degrees): 5.2490 4.4936 4.4936 90.00 90.00 90.00
Fractional coordinates of all 4 atoms:
Zn: 0.5000 0.0000 0.0000
Bi: 0.5000 0.5000 0.5000
Sn: 0.0000 0.0000 0.5000
Sn: 0.0000 0.5000 0.0000

Output
symmetry = No. 123
energy relative to the lowest polymorph listed for this composition = 4.9 kJ/mol of atoms
total magnetic moment = 0.00 μB/cell



Record 2
The following is a PBE calculation of a relaxed LiBeW2 crystal, from Alexandria.

Lattice parameters (Å, degrees): 3.6736 2.6799 5.8077 67.20 90.00 90.00
Fractional coordinates of all 4 atoms:
Be: 0.5000 0.2500 0.2500
Li: 0.5000 0.7500 0.7500
W: 0.0000 0.0130 0.0066
W: 0.0000 0.4870 0.4934

Output
symmetry = No. 10
energy = -7.428 eV/atom
total magnetic moment = 0.00 μB/cell



Record 3
The following is a PBE calculation of a relaxed LiHg4 crystal, from Alexandria.

Lattice parameters (Å, degrees): 7.1717 7.1717 7.1717 100.76 100.76 128.81
Fractional coordinates of all 10 atoms:
Li: 0.5000 0.5000 0.0000
Li: 0.2500 0.7500 0.5000
Hg: 0.6686 0.3785 0.2901
Hg: 0.0885 0.3785 0.7099
Hg: 0.1285 0.3385 0.2099
Hg: 0.1285 0.9186 0.7901
Hg: 0.6615 0.8715 0.7901
Hg: 0.0814 0.8715 0.2099
Hg: 0.6215 0.9115 0.2901
Hg: 0.6215 0.3314 0.7099

Output
symmetry = No. 141
energy relative to the lowest polymorph listed for this composition = 1.3 kJ/mol of atoms
total magnetic moment = 0.00 μB/cell



Record 4
The following is a PBE calculation of a relaxed CeDyTh2Sb5 crystal, from Alexandria.

Lattice parameters (Å, degrees): 5.2791 5.2791 11.6029 90.00 90.00 90.00
Site moments in Bohr magnetons follow the coordinates.
Fractional coordinates of all 9 atoms:
Ce: 0.0000 0.0000 0.0000  0.69
Dy: 0.0000 0.0000 0.5000  -0.01
Th: 0.5000 0.5000 0.3092  -0.02
Th: 0.5000 0.5000 0.6908  -0.02
Sb: 0.0000 0.5000 0.5000  0.00
Sb: 0.5000 0.0000 0.5000  0.00
Sb: 0.0000 0.0000 0.7500  -0.01
Sb: 0.0000 0.0000 0.2500  -0.01
Sb: 0.5000 0.5000 0.0000  -0.02

Output
symmetry = No. 123
energy relative to the elements, uncorrected = -0.1962 eV per atom
total magnetic moment = 0.56 μB/cell



Record 5
The following is a PBE calculation of a relaxed Sr2SmInTe4 crystal, from Alexandria.

Lattice parameters (Å, degrees): 4.6625 7.9152 8.2927 71.26 90.00 90.00
Fractional coordinates of all 8 atoms:
Sr: 0.0000 0.0000 0.0000
Sr: 0.5000 0.0000 0.5000
Sm: 0.0000 0.5000 0.5000
In: 0.5000 0.5000 0.0000
Te: 0.0000 0.7422 0.7369
Te: 0.0000 0.2578 0.2631
Te: 0.5000 0.7348 0.2642
Te: 0.5000 0.2652 0.7358

Output
symmetry = No. 10
energy relative to the elements, uncorrected = -1.3144 eV per atom
total magnetic moment = 0.00 μB/cell



Record 6
The following is a PBE calculation of a relaxed Sm12As3N5 crystal, from Alexandria.

Lattice parameters (Å, degrees): 13.5308 13.5308 13.5308 109.47 109.47 109.47
Fractional coordinates of all 80 atoms:
As: 0.7500 0.3750 0.1250
As: 0.8750 0.7500 0.1250
As: 0.3750 0.7500 0.6250
As: 0.2500 0.1250 0.3750
As: 0.8750 0.1250 0.2500
As: 0.3750 0.6250 0.2500
As: 0.6250 0.3750 0.7500
As: 0.1250 0.8750 0.7500
As: 0.7500 0.8750 0.6250
As: 0.6250 0.2500 0.3750
As: 0.1250 0.2500 0.8750
As: 0.2500 0.6250 0.8750
Sm: 0.7030 0.1157 0.0198
Sm: 0.3168 0.5198 0.4041
Sm: 0.9802 0.3843 0.2970
Sm: 0.5198 0.2030 0.1157
Sm: 0.5873 0.7030 0.6832
Sm: 0.9802 0.5959 0.1832
Sm: 0.3168 0.7970 0.4127
Sm: 0.0959 0.9127 0.1157
Sm: 0.5959 0.9802 0.6832
Sm: 0.7030 0.5873 0.1832
Sm: 0.7970 0.4802 0.3843
Sm: 0.8168 0.9041 0.0198
Sm: 0.1157 0.7030 0.5198
Sm: 0.3843 0.4041 0.0873
Sm: 0.0873 0.9041 0.3843
Sm: 0.4127 0.1157 0.5959
Sm: 0.0873 0.1832 0.2030
Sm: 0.4802 0.6832 0.0959
Sm: 0.8168 0.9127 0.2970
Sm: 0.1157 0.4127 0.0959
Sm: 0.3843 0.9802 0.7970
Sm: 0.5959 0.6157 0.4127
Sm: 0.9041 0.8168 0.5198
Sm: 0.7970 0.3168 0.9127
Sm: 0.4041 0.3843 0.5873
Sm: 0.0959 0.1832 0.4802
Sm: 0.2030 0.6832 0.0873
Sm: 0.1832 0.0873 0.7030
Sm: 0.6157 0.0198 0.2030
Sm: 0.8843 0.5873 0.9041
Sm: 0.5198 0.3168 0.9041
Sm: 0.5873 0.8843 0.4041
Sm: 0.9127 0.8168 0.7970
Sm: 0.9127 0.0959 0.6157
Sm: 0.8843 0.2970 0.4802
Sm: 0.1832 0.0959 0.9802
Sm: 0.6157 0.5959 0.9127
Sm: 0.4041 0.0198 0.3168
Sm: 0.2970 0.4127 0.8168
Sm: 0.2030 0.5198 0.6157
Sm: 0.9041 0.0873 0.8843
Sm: 0.6832 0.2030 0.5873
Sm: 0.4802 0.7970 0.8843
Sm: 0.0198 0.4041 0.8168
Sm: 0.4127 0.2970 0.3168
Sm: 0.0198 0.6157 0.7030
Sm: 0.6832 0.4802 0.5959
Sm: 0.2970 0.8843 0.9802
N: 0.1250 0.3750 0.2500
N: 0.0000 0.5000 0.0000
N: 0.0000 0.0000 0.0000
N: 0.3750 0.2500 0.1250
N: 0.5000 0.0000 0.5000
N: 0.5000 0.5000 0.0000
N: 0.1250 0.7500 0.3750
N: 0.7500 0.1250 0.8750
N: 0.7500 0.6250 0.3750
N: 0.3750 0.1250 0.7500
N: 0.6250 0.8750 0.2500
N: 0.5000 0.5000 0.5000
N: 0.5000 0.0000 0.0000
N: 0.0000 0.0000 0.5000
N: 0.2500 0.3750 0.6250
N: 0.2500 0.8750 0.1250
N: 0.0000 0.5000 0.5000
N: 0.8750 0.2500 0.6250
N: 0.6250 0.7500 0.8750
N: 0.8750 0.6250 0.7500

Output
symmetry = No. 230
energy relative to the elements, uncorrected = -1.0431 eV per atom
total magnetic moment = 0.00 μB/cell



Record 7
The following is a PBE calculation of a relaxed Cu2WSe crystal, from Alexandria.

Lattice parameters (Å, degrees): 8.3258 8.3258 8.3258 20.86 20.86 20.86
Fractional coordinates of all 4 atoms:
Cu: 0.9990 0.9990 0.9990
Cu: 0.2597 0.2597 0.2597
Se: 0.4911 0.4911 0.4911
W: 0.7502 0.7502 0.7502

Output
symmetry = No. 160
energy relative to the elements, uncorrected = 0.2952 eV per atom
total magnetic moment = 0.00 μB/cell



Record 8
The following is a PBE calculation of a relaxed PRhBr crystal, from Alexandria.

Lattice parameters (Å, degrees): 3.5433 3.5433 5.6203 90.00 90.00 120.00
Fractional coordinates of all 3 atoms:
Br: 0.0000 0.0000 0.9430
P: 0.6667 0.3333 0.4370
Rh: 0.3333 0.6667 0.6200

Output
symmetry = No. 156
energy relative to the lowest polymorph listed for this composition = 0.0 kJ/mol of atoms
energy relative to the elements, uncorrected = -0.2663 eV per atom
total magnetic moment = 0.00 μB/cell



Record 9
The following is a PBE calculation of a relaxed TmCu2Ni3 crystal, from Alexandria.

Lattice parameters (Å, degrees): 5.3072 5.3072 7.2472 68.52 68.52 60.00
Fractional coordinates of all 12 atoms:
Tm: 0.7874 0.7874 0.6379
Tm: 0.2126 0.2126 0.3621
Cu: 0.0000 0.0000 0.0000
Cu: 0.0000 0.5000 0.0000
Cu: 0.5000 0.5000 0.0000
Cu: 0.5000 0.0000 0.0000
Ni: 0.2468 0.7197 0.3138
Ni: 0.7197 0.2468 0.3138
Ni: 0.7197 0.7197 0.3138
Ni: 0.2803 0.7532 0.6862
Ni: 0.7532 0.2803 0.6862
Ni: 0.2803 0.2803 0.6862

Output
symmetry = No. 166
energy = -5.167 eV/atom
total magnetic moment = 0.00 μB/cell